A relaxed Na3AlV2O8 crystal, computed with GGA+U.

The structure in POSCAR format:
```
Na3AlV2O8
1.0
5.485 0.000 0.000
-2.742 4.750 0.000
0.000 0.000 6.814
Na Al V O
3 1 2 8
Direct
0.000 0.000 0.000
0.333 0.667 0.663
0.667 0.333 0.337
0.000 0.000 0.500
0.333 0.667 0.234
0.667 0.333 0.766
0.162 0.324 0.332
0.162 0.838 0.332
0.324 0.162 0.668
0.333 0.667 0.988
0.667 0.333 0.012
0.676 0.838 0.332
0.838 0.162 0.668
0.838 0.676 0.668
```

Results
VASP energy in eV per cell: -91.89